{
  "formula": "Rh2AuBr",
  "functional": "PBE",
  "state": "optimized geometry",
  "cell": [[-1.459, 2.378, 4.932], [1.459, -2.378, 4.932], [1.459, 2.378, -4.932]],
  "species": ["Rh", "Rh", "Au", "Br"],
  "frac_coords": [[0.000, 0.000, 0.000], [0.770, 0.270, 0.500], [0.263, 0.763, 0.500], [0.546, 0.546, 0.000]],
  "sg": "Imm2 (44)",
  "magmom_total_mub_per_cell": 0.0,
  "n_ef_per_ev_cell": 5.20,
  "formation_energy_uncorrected_ev_per_atom": 0.5116,
  "relative_energy_mev_per_atom": 139
}


{
  "formula": "RhAu2Br",
  "functional": "PBE",
  "state": "optimized geometry",
  "cell": [[2.724, -4.802, 0.000], [2.724, 4.802, 0.000], [0.000, 0.000, 2.856]],
  "species": ["Rh", "Au", "Au", "Br"],
  "frac_coords": [[0.000, 0.000, 0.000], [0.000, 0.500, 0.500], [0.500, 0.000, 0.500], [0.500, 0.500, 0.000]],
  "sg": "Cmmm (65)",
  "magmom_total_mub_per_cell": 0.4,
  "n_ef_per_ev_cell": 2.53,
  "formation_energy_uncorrected_ev_per_atom": 0.5361,
  "relative_energy_mev_per_atom": 315
}


{
  "formula": "Rh2AuBr",
  "functional": "PBE",
  "state": "optimized geometry",
  "cell": [[2.892, 0.000, 0.000], [0.000, 4.624, 0.000], [0.000, 0.000, 5.165]],
  "species": ["Rh", "Rh", "Au", "Br"],
  "frac_coords": [[0.000, 0.000, 0.000], [0.500, 0.000, 0.500], [0.000, 0.500, 0.500], [0.500, 0.500, 0.000]],
  "sg": "Pmmm (47)",
  "magmom_total_mub_per_cell": 0.0,
  "n_ef_per_ev_cell": 5.93,
  "formation_energy_uncorrected_ev_per_atom": 0.6576,
  "relative_energy_mev_per_atom": 285
}


{
  "formula": "RhAu2Br",
  "functional": "PBE",
  "state": "optimized geometry",
  "cell": [[3.082, 0.000, 0.000], [0.000, 3.082, 0.000], [0.000, 0.000, 8.065]],
  "species": ["Rh", "Au", "Au", "Br"],
  "frac_coords": [[0.000, 0.000, 0.000], [0.000, 0.000, 0.459], [0.500, 0.500, 0.226], [0.500, 0.500, 0.796]],
  "sg": "P4mm (99)",
  "magmom_total_mub_per_cell": 0.9,
  "n_ef_per_ev_cell": 4.21,
  "formation_energy_uncorrected_ev_per_atom": 0.3619,
  "relative_energy_mev_per_atom": 141
}


{
  "formula": "RhAuBr",
  "functional": "PBE",
  "state": "optimized geometry",
  "cell": [[0.000, 3.185, 3.185], [3.185, 0.000, 3.185], [3.185, 3.185, 0.000]],
  "species": ["Rh", "Au", "Br"],
  "frac_coords": [[0.000, 0.000, 0.000], [0.750, 0.750, 0.750], [0.250, 0.250, 0.250]],
  "sg": "F-43m (216)",
  "magmom_total_mub_per_cell": 1.4,
  "n_ef_per_ev_cell": 4.45,
  "formation_energy_uncorrected_ev_per_atom": 0.5570,
  "relative_energy_mev_per_atom": 254
}


{
  "formula": "RhAu2Br",
  "functional": "PBE",
  "state": "optimized geometry",
  "cell": [[1.490, -2.464, 0.000], [1.490, 2.464, 0.000], [0.000, 0.000, 10.474]],
  "species": ["Rh", "Au", "Au", "Br"],
  "frac_coords": [[0.000, 0.000, 0.000], [0.500, 0.500, 0.221], [0.500, 0.500, 0.779], [0.000, 0.000, 0.500]],
  "sg": "Cmmm (65)",
  "magmom_total_mub_per_cell": 0.5,
  "n_ef_per_ev_cell": 5.69,
  "formation_energy_uncorrected_ev_per_atom": 0.4315,
  "relative_energy_mev_per_atom": 210
}